Entry 1:
# Dy2SnB2Ru5, relaxed, DFT PBE-GGA
data_Dy2SnB2Ru5
_cell_length_a 9.745
_cell_length_b 9.745
_cell_length_c 3.145
_cell_angle_alpha 90.00
_cell_angle_beta 90.00
_cell_angle_gamma 90.00
_space_group_name_H-M_alt 'P 4/m b m'
_space_group_IT_number 127
_space_group_name_Hall '-P 4 2ab'
loop_
_atom_site_label
_atom_site_type_symbol
_atom_site_fract_x
_atom_site_fract_y
_atom_site_fract_z
Dy1 Dy 0.177 0.323 0.000
Sn1 Sn 0.000 0.000 0.000
B1 B 0.121 0.621 0.000
Ru1 Ru 0.000 0.500 0.500
Ru2 Ru 0.069 0.775 0.500
# DFT total energy, hartree per atom: -0.2855
# E_form, eV per atom: -0.47
# Crystal system: tetragonal

***

Entry 2:
# Dy2TiB2Ru5, relaxed, DFT PBE-GGA
data_Dy2TiB2Ru5
_cell_length_a 9.620
_cell_length_b 9.620
_cell_length_c 3.116
_cell_angle_alpha 90.00
_cell_angle_beta 90.00
_cell_angle_gamma 90.00
_space_group_name_H-M_alt 'P 4/m b m'
_space_group_IT_number 127
_space_group_name_Hall '-P 4 2ab'
loop_
_atom_site_label
_atom_site_type_symbol
_atom_site_fract_x
_atom_site_fract_y
_atom_site_fract_z
Dy1 Dy 0.176 0.324 0.000
Ti1 Ti 0.000 0.000 0.000
B1 B 0.123 0.623 0.000
Ru1 Ru 0.000 0.500 0.500
Ru2 Ru 0.070 0.783 0.500
# DFT total energy, hartree per atom: -0.3011
# E_form, eV per atom: -0.51
# Crystal system: tetragonal

***

Entry 3:
# Dy2VB2Ru5, relaxed, DFT PBE-GGA
data_Dy2VB2Ru5
_cell_length_a 9.568
_cell_length_b 9.568
_cell_length_c 3.085
_cell_angle_alpha 90.00
_cell_angle_beta 90.00
_cell_angle_gamma 90.00
_space_group_name_H-M_alt 'P 4/m b m'
_space_group_IT_number 127
_space_group_name_Hall '-P 4 2ab'
loop_
_atom_site_label
_atom_site_type_symbol
_atom_site_fract_x
_atom_site_fract_y
_atom_site_fract_z
Dy1 Dy 0.175 0.325 0.000
V1 V 0.000 0.000 0.000
B1 B 0.122 0.622 0.000
Ru1 Ru 0.000 0.500 0.500
Ru2 Ru 0.069 0.787 0.500
# DFT total energy, hartree per atom: -0.3036
# E_form, eV per atom: -0.45
# Crystal system: tetragonal

***

Entry 4:
# Dy3Zn2BRu3, relaxed, DFT PBE-GGA
data_Dy3Zn2BRu3
_cell_length_a 7.2550
_cell_length_b 7.2550
_cell_length_c 3.4396
_cell_angle_alpha 90.00
_cell_angle_beta 90.00
_cell_angle_gamma 120.00
_space_group_name_H-M_alt 'P -6 2 m'
_space_group_IT_number 189
_space_group_name_Hall 'P -6 -2'
loop_
_atom_site_label
_atom_site_type_symbol
_atom_site_fract_x
_atom_site_fract_y
_atom_site_fract_z
Dy1 Dy 0.0000 0.3619 0.0000
Zn1 Zn 0.3333 0.6667 0.5000
B1 B 0.0000 0.0000 0.0000
Ru1 Ru 0.0000 0.7726 0.5000
# DFT total energy, hartree per atom: -0.2199
# E_form, eV per atom: -0.33
# Crystal system: hexagonal

***

Entry 5:
# Dy2ZnB2Ru5, relaxed, DFT PBE-GGA
data_Dy2ZnB2Ru5
_cell_length_a 9.570
_cell_length_b 9.570
_cell_length_c 3.128
_cell_angle_alpha 90.00
_cell_angle_beta 90.00
_cell_angle_gamma 90.00
_space_group_name_H-M_alt 'P 4/m b m'
_space_group_IT_number 127
_space_group_name_Hall '-P 4 2ab'
loop_
_atom_site_label
_atom_site_type_symbol
_atom_site_fract_x
_atom_site_fract_y
_atom_site_fract_z
Dy1 Dy 0.176 0.324 0.000
Zn1 Zn 0.000 0.000 0.000
B1 B 0.125 0.625 0.000
Ru1 Ru 0.000 0.500 0.500
Ru2 Ru 0.070 0.781 0.500
# DFT total energy, hartree per atom: -0.2715
# E_form, eV per atom: -0.37
# Crystal system: tetragonal

***

Entry 6:
# DyBS4, relaxed, DFT PBE-GGA
data_DyBS4
_cell_length_a 8.225
_cell_length_b 6.992
_cell_length_c 8.616
_cell_angle_alpha 90.00
_cell_angle_beta 90.00
_cell_angle_gamma 90.00
_space_group_name_H-M_alt 'C m c m'
_space_group_IT_number 63
_space_group_name_Hall '-C 2c 2'
loop_
_atom_site_label
_atom_site_type_symbol
_atom_site_fract_x
_atom_site_fract_y
_atom_site_fract_z
Dy1 Dy 0.000 0.150 0.250
B1 B 0.000 0.361 0.750
S1 S 0.000 0.194 0.576
S2 S 0.189 0.483 0.250
# Energy relative to the elements, uncorrected, eV per formula unit: -4.443
# DFT total energy, hartree per atom: -0.1974
# Crystal system: orthorhombic

***

Entry 7:
# Dy6BS12, relaxed, DFT PBE-GGA
data_Dy6BS12
_cell_length_a 11.5704
_cell_length_b 11.5704
_cell_length_c 10.9428
_cell_angle_alpha 90.00
_cell_angle_beta 90.00
_cell_angle_gamma 120.00
_space_group_name_H-M_alt 'R -3'
_space_group_IT_number 148
_space_group_name_Hall '-R 3'
loop_
_atom_site_label
_atom_site_type_symbol
_atom_site_fract_x
_atom_site_fract_y
_atom_site_fract_z
Dy1 Dy 0.0540 0.4480 0.3174
B1 B 0.0000 0.0000 0.0000
S1 S 0.0415 0.2199 0.4005
S2 S 0.0547 0.1857 0.8927
# Energy relative to the elements, uncorrected, eV per formula unit: -26.251
# DFT total energy, hartree per atom: -0.2129
# Crystal system: trigonal

***

Entry 8:
# Dy6BS5, relaxed, DFT PBE-GGA
data_Dy6BS5
_cell_length_a 6.761
_cell_length_b 11.693
_cell_length_c 6.766
_cell_angle_alpha 90.00
_cell_angle_beta 109.42
_cell_angle_gamma 90.00
_space_group_name_H-M_alt 'C 1 2/m 1'
_space_group_IT_number 12
_space_group_name_Hall '-C 2y'
loop_
_atom_site_label
_atom_site_type_symbol
_atom_site_fract_x
_atom_site_fract_y
_atom_site_fract_z
Dy1 Dy 0.233 0.000 0.264
Dy2 Dy 0.234 0.156 0.735
B1 B 0.000 0.000 0.500
S1 S 0.000 0.171 0.000
S2 S 0.000 0.334 0.500
S3 S 0.000 0.500 0.000
# Energy relative to the elements, uncorrected, eV per formula unit: -21.431
# DFT total energy, hartree per atom: -0.2338
# Crystal system: monoclinic

***

Entry 9:
# Dy3BS2, relaxed, DFT PBE-GGA
data_Dy3BS2
_cell_length_a 7.823
_cell_length_b 10.997
_cell_length_c 23.154
_cell_angle_alpha 90.00
_cell_angle_beta 90.00
_cell_angle_gamma 90.00
_space_group_name_H-M_alt 'F d d d'
_space_group_IT_number 70
loop_
_space_group_symop_operation_xyz
'x,y,z'
'-x,-y,-z'
'-x+1/4,-y+1/4,z'
'x+1/4,y+1/4,-z'
'x,-y+1/4,-z+1/4'
'-x,y+1/4,z+1/4'
'-x+1/4,y,-z+1/4'
'x+1/4,-y,z+1/4'
'x,y+1/2,z+1/2'
'-x,-y+1/2,-z+1/2'
'-x+1/4,-y+3/4,z+1/2'
'x+1/4,y+3/4,-z+1/2'
'x,-y+3/4,-z+3/4'
'-x,y+3/4,z+3/4'
'-x+1/4,y+1/2,-z+3/4'
'x+1/4,-y+1/2,z+3/4'
'x+1/2,y,z+1/2'
'-x+1/2,-y,-z+1/2'
'-x+3/4,-y+1/4,z+1/2'
'x+3/4,y+1/4,-z+1/2'
'x+1/2,-y+1/4,-z+3/4'
'-x+1/2,y+1/4,z+3/4'
'-x+3/4,y,-z+3/4'
'x+3/4,-y,z+3/4'
'x+1/2,y+1/2,z'
'-x+1/2,-y+1/2,-z'
'-x+3/4,-y+3/4,z'
'x+3/4,y+3/4,-z'
'x+1/2,-y+3/4,-z+1/4'
'-x+1/2,y+3/4,z+1/4'
'-x+3/4,y+1/2,-z+1/4'
'x+3/4,-y+1/2,z+1/4'
loop_
_atom_site_label
_atom_site_type_symbol
_atom_site_fract_x
_atom_site_fract_y
_atom_site_fract_z
Dy1 Dy 0.102 0.375 0.375
Dy2 Dy 0.115 0.364 0.213
B1 B 0.125 0.125 0.041
S1 S 0.125 0.125 0.378
S2 S 0.125 0.125 0.545
# Energy relative to the elements, uncorrected, eV per formula unit: -8.804
# DFT total energy, hartree per atom: -0.2299
# Crystal system: orthorhombic

***

Entry 10:
# SrDyBS4, relaxed, DFT PBE-GGA
data_SrDyBS4
_cell_length_a 6.163
_cell_length_b 6.303
_cell_length_c 7.989
_cell_angle_alpha 90.00
_cell_angle_beta 107.38
_cell_angle_gamma 90.00
_space_group_name_H-M_alt 'P 1 21/m 1'
_space_group_IT_number 11
_space_group_name_Hall '-P 2yb'
loop_
_atom_site_label
_atom_site_type_symbol
_atom_site_fract_x
_atom_site_fract_y
_atom_site_fract_z
Sr1 Sr 0.220 0.250 0.429
Dy1 Dy 0.271 0.250 0.947
B1 B 0.282 0.750 0.189
S1 S 0.093 0.750 0.348
S2 S 0.108 0.750 0.941
S3 S 0.484 0.509 0.235
# Energy relative to the elements, uncorrected, eV per formula unit: -10.570
# DFT total energy, hartree per atom: -0.2102
# Crystal system: monoclinic

***

Entry 11:
# Dy8BTe3S3, relaxed, DFT PBE-GGA
data_Dy8BTe3S3
_cell_length_a 13.882
_cell_length_b 8.006
_cell_length_c 8.431
_cell_angle_alpha 90.00
_cell_angle_beta 123.29
_cell_angle_gamma 90.00
_space_group_name_H-M_alt 'C 1 2/m 1'
_space_group_IT_number 12
_space_group_name_Hall '-C 2y'
loop_
_atom_site_label
_atom_site_type_symbol
_atom_site_fract_x
_atom_site_fract_y
_atom_site_fract_z
Dy1 Dy 0.011 0.234 0.300
Dy2 Dy 0.223 0.000 0.700
Dy3 Dy 0.234 0.500 0.703
B1 B 0.000 0.000 0.500
Te1 Te 0.000 0.000 0.000
Te2 Te 0.250 0.250 0.000
S1 S 0.000 0.500 0.500
S2 S 0.250 0.250 0.500
# Energy relative to the elements, uncorrected, eV per formula unit: -20.435
# DFT total energy, hartree per atom: -0.2101
# Crystal system: monoclinic

***

Entry 12:
# Dy8BTe4S3, relaxed, DFT PBE-GGA
data_Dy8BTe4S3
_cell_length_a 8.0857
_cell_length_b 8.0857
_cell_length_c 21.0618
_cell_angle_alpha 90.00
_cell_angle_beta 90.00
_cell_angle_gamma 120.00
_space_group_name_H-M_alt 'R -3 m'
_space_group_IT_number 166
_space_group_name_Hall '-R 3 2"'
loop_
_atom_site_label
_atom_site_type_symbol
_atom_site_fract_x
_atom_site_fract_y
_atom_site_fract_z
Dy1 Dy 0.0000 0.0000 0.2353
Dy2 Dy 0.0208 0.5104 0.2340
B1 B 0.0000 0.0000 0.5000
Te1 Te 0.0000 0.0000 0.0000
Te2 Te 0.0000 0.5000 0.0000
S1 S 0.0000 0.5000 0.5000
# Energy relative to the elements, uncorrected, eV per formula unit: -23.893
# DFT total energy, hartree per atom: -0.2121
# Crystal system: trigonal

***

Number 1: magnetization 0.000 μB/atom. Number 2: magnetization 0.000 μB/atom. Number 3: magnetization 0.000 μB/atom. Number 4: magnetization 0.000 μB/atom. Number 5: magnetization 0.000 μB/atom. Number 6: magnetization 0.000 μB/atom. Number 7: magnetization 0.000 μB/atom. Number 8: magnetization 0.000 μB/atom. Number 9: magnetization 0.000 μB/atom. Number 10: magnetization 0.000 μB/atom. Number 11: magnetization 0.000 μB/atom. Number 12: magnetization 0.000 μB/atom.